NaSrAs2, relaxed, DFT PBE; space group = I-42d, No. 122; ΔE_f = -0.3923 eV/atom
1.0
-4.537 1.684 1.340
-1.930 -4.566 -0.798
-1.465 -3.742 9.151
Sr As Na
2 4 2
Cartesian
0.000 0.000 0.000
-4.618 -1.749 5.381
-2.871 -0.666 2.856
-2.712 -3.366 2.125
-3.767 -4.462 6.966
-6.514 -4.753 7.438
-3.234 -1.441 0.271
-3.314 -4.874 4.312